DFT (SCAN) results for a crystal of SrCuW2Se relaxed with PBEsol.

abc: 4.8580 4.8580 5.2371
angles: 90.00 90.00 90.00
Closest atoms and distances in Å follow each position.
Fractional positions:
Sr 0.0000 0.0000 0.0000  4 W 2.43, 2 Se 2.62
Cu 0.5000 0.5000 0.5000  4 Se 3.44, 8 W 3.57
W 0.0000 0.5000 0.0000  2 Sr 2.43
W 0.5000 0.0000 0.0000  2 Sr 2.43
Se 0.0000 0.0000 0.5000  2 Sr 2.62

DFT (SCAN) results for a crystal of Ba2CaZn relaxed with PBEsol.

abc: 4.1250 7.6850 7.6850
angles: 44.01 90.00 90.00
Closest atoms and distances in Å follow each position.
Fractional positions:
Ba 0.0000 0.0000 0.0000  4 Zn 3.58, 2 Ca 3.93
Ba 0.5000 0.3118 0.3118  1 Zn 3.22
Ca 0.0000 0.6877 0.6877  2 Zn 2.97
Zn 0.5000 0.5377 0.5377  2 Ca 2.97, 1 Ba 3.22

DFT (SCAN) results for a crystal of AlOsSCl2 relaxed with PBEsol.

abc: 4.4545 4.4545 4.7655
angles: 90.00 90.00 90.00
Closest atoms and distances in Å follow each position.
Fractional positions:
Al 0.0000 0.0000 0.0000  4 Cl 2.23, 2 S 2.38
Os 0.5000 0.5000 0.5000  4 S 3.15, 8 Cl 3.26
S 0.0000 0.0000 0.5000  2 Al 2.38
Cl 0.0000 0.5000 0.0000  2 Al 2.23
Cl 0.5000 0.0000 0.0000  2 Al 2.23

DFT (SCAN) results for a crystal of Ce4CoSi6Au relaxed with PBEsol.

abc: 8.0846 8.0846 4.0996
angles: 90.00 90.00 120.00
Closest atoms and distances in Å follow each position.
Fractional positions:
Ce 0.0000 0.0000 0.0000  12 Si 3.06-3.16
Ce 0.0171 0.5086 0.0000  2 Co 3.02, 8 Si 3.03-3.18, 2 Au 3.20
Ce 0.4914 0.5086 0.0000  2 Co 3.02, 8 Si 3.03-3.18, 2 Au 3.20
Ce 0.4914 0.9829 0.0000  2 Co 3.02, 8 Si 3.03-3.18, 2 Au 3.20
Co 0.3333 0.6667 0.5000  3 Si 2.26
Si 0.1719 0.3438 0.5000  1 Co 2.26, 2 Si 2.34
Si 0.1719 0.8281 0.5000  1 Co 2.26, 2 Si 2.34
Si 0.3236 0.1618 0.5000  2 Si 2.34, 1 Au 2.40
Si 0.6562 0.8281 0.5000  1 Co 2.26, 2 Si 2.34
Si 0.8382 0.1618 0.5000  2 Si 2.34, 1 Au 2.40
Si 0.8382 0.6764 0.5000  2 Si 2.34, 1 Au 2.40
Au 0.6667 0.3333 0.5000  3 Si 2.40

DFT (SCAN) results for a crystal of AlGa3N4 relaxed with PBEsol.

abc: 5.1405 3.1632 5.4760
angles: 90.00 90.04 90.00
Closest atoms and distances in Å follow each position.
Fractional positions:
Al 0.0000 0.0000 0.0000  4 N 1.89-1.90
Ga 0.0008 0.5000 0.5011  4 N 1.95-1.96
Ga 0.5014 0.0000 0.3325  4 N 1.94-1.95
Ga 0.5016 0.5000 0.8358  4 N 1.94-1.96
N 0.3696 0.0000 0.0001  1 Al 1.90, 3 Ga 1.94
N 0.3801 0.5000 0.5012  4 Ga 1.94-1.95
N 0.8808 0.0000 0.3274  1 Al 1.89, 3 Ga 1.95
N 0.8829 0.5000 0.8408  2 Al 1.90, 2 Ga 1.96

DFT (SCAN) results for a crystal of ZrAlSi relaxed with PBEsol.

abc: 3.7834 3.7834 7.0315
angles: 90.00 90.00 90.00
Closest atoms and distances in Å follow each position.
Fractional positions:
Zr 0.2500 0.2500 0.1644  5 Si 2.69-2.70
Zr 0.7500 0.7500 0.8356  5 Si 2.69-2.70
Al 0.2500 0.7500 0.5000  4 Al 2.68, 4 Si 2.74
Al 0.7500 0.2500 0.5000  4 Al 2.68, 4 Si 2.74
Si 0.2500 0.2500 0.7812  5 Zr 2.69-2.70, 4 Al 2.74
Si 0.7500 0.7500 0.2188  5 Zr 2.69-2.70, 4 Al 2.74

DFT (SCAN) results for a crystal of Fe4ReRh relaxed with PBEsol.

abc: 4.6018 4.6018 4.6018
angles: 60.00 60.00 60.00
Closest atoms and distances in Å follow each position.
Fractional positions:
Fe 0.1254 0.1254 0.1254  6 Fe 2.29-2.31
Fe 0.1254 0.1254 0.6238  6 Fe 2.29-2.31
Fe 0.1254 0.6238 0.1254  6 Fe 2.29-2.31
Fe 0.6238 0.1254 0.1254  6 Fe 2.29-2.31
Re 0.7500 0.7500 0.7500  12 Fe 2.70, 4 Rh 2.82
Rh 0.5000 0.5000 0.5000  12 Fe 2.70, 4 Re 2.82

DFT (SCAN) results for a crystal of AlCrIN2 relaxed with PBEsol.

abc: 3.7643 3.7643 5.9831
angles: 90.00 90.00 90.00
Closest atoms and distances in Å follow each position.
Fractional positions:
Al 0.0000 0.0000 0.0000  4 N 1.88
Cr 0.5000 0.5000 0.5000  4 I 2.66
I 0.0000 0.0000 0.5000  4 Cr 2.66
N 0.0000 0.5000 0.0000  2 Al 1.88
N 0.5000 0.0000 0.0000  2 Al 1.88

DFT (SCAN) results for a crystal of CaLaBe2P relaxed with PBEsol.

abc: 4.7511 4.7511 5.0223
angles: 90.00 90.00 90.00
Closest atoms and distances in Å follow each position.
Fractional positions:
Ca 0.0000 0.0000 0.0000  4 Be 2.38, 2 P 2.51
La 0.5000 0.5000 0.5000  4 P 3.36, 8 Be 3.46
Be 0.0000 0.5000 0.0000  2 Ca 2.38
Be 0.5000 0.0000 0.0000  2 Ca 2.38
P 0.0000 0.0000 0.5000  2 Ca 2.51

DFT (SCAN) results for a crystal of TlBi2Pb relaxed with PBEsol.

abc: 5.5087 5.5087 5.5087
angles: 60.00 60.00 60.00
Closest atoms and distances in Å follow each position.
Fractional positions:
Tl 0.0000 0.0000 0.0000  8 Bi 3.37
Bi 0.2500 0.2500 0.2500  4 Tl 3.37, 4 Pb 3.37
Bi 0.7500 0.7500 0.7500  4 Tl 3.37, 4 Pb 3.37
Pb 0.5000 0.5000 0.5000  8 Bi 3.37

DFT (SCAN) results for a crystal of CuAg2Pt relaxed with PBEsol.

abc: 4.3874 4.3874 4.3874
angles: 60.00 60.00 60.00
Closest atoms and distances in Å follow each position.
Fractional positions:
Cu 0.0000 0.0000 0.0000  4 Pt 2.69, 4 Ag 2.69
Ag 0.2500 0.2500 0.2500  4 Cu 2.69, 4 Ag 2.69
Ag 0.5000 0.5000 0.5000  4 Pt 2.69, 4 Ag 2.69
Pt 0.7500 0.7500 0.7500  4 Cu 2.69, 4 Ag 2.69

DFT (SCAN) results for a crystal of TcHgAu relaxed with PBEsol.

abc: 4.4102 4.4102 4.4102
angles: 60.00 60.00 60.00
Closest atoms and distances in Å follow each position.
Fractional positions:
Tc 0.0000 0.0000 0.0000  4 Hg 2.70
Hg 0.7500 0.7500 0.7500  4 Au 2.70, 4 Tc 2.70
Au 0.5000 0.5000 0.5000  4 Hg 2.70

DFT (SCAN) results for a crystal of ZnCd3 relaxed with PBEsol.

abc: 8.9530 8.9530 8.9530
angles: 152.34 152.34 39.51
Closest atoms and distances in Å follow each position.
Fractional positions:
Zn 0.1245 0.1245 0.0000  12 Cd 3.00-3.03
Zn 0.8755 0.8755 0.0000  12 Cd 3.00-3.03
Cd 0.0000 0.5000 0.5000  4 Zn 3.00, 8 Cd 3.01-3.03
Cd 0.2500 0.7500 0.5000  8 Cd 3.00-3.03, 4 Zn 3.01
Cd 0.3746 0.3746 0.0000  8 Cd 3.00-3.01, 4 Zn 3.03
Cd 0.5000 0.0000 0.5000  4 Zn 3.00, 8 Cd 3.01-3.03
Cd 0.6254 0.6254 0.0000  8 Cd 3.00-3.01, 4 Zn 3.03
Cd 0.7500 0.2500 0.5000  8 Cd 3.00-3.03, 4 Zn 3.01

DFT (SCAN) results for a crystal of LiMn3O6 relaxed with PBEsol.

abc: 6.7655 6.7655 4.8151
angles: 94.19 94.19 23.85
Closest atoms and distances in Å follow each position.
Fractional positions:
Li 0.0000 0.0000 0.0000  4 O 1.81-2.01
Mn 0.1485 0.1485 0.4114  6 O 1.86-1.95
Mn 0.4568 0.4568 0.4794  6 O 1.88-1.94
Mn 0.7986 0.7986 0.9439  6 O 1.87-1.94
O 0.0393 0.0393 0.6470  1 Li 1.81, 3 Mn 1.90-1.92
O 0.2258 0.2258 0.0939  3 Mn 1.87-1.90
O 0.3804 0.3804 0.7986  3 Mn 1.90-1.93
O 0.5649 0.5649 0.2295  3 Mn 1.94-1.95, 2 Li 1.94
O 0.7166 0.7166 0.5990  3 Mn 1.86-1.91
O 0.8927 0.8927 0.2738  3 Mn 1.88-1.94, 1 Li 2.01

DFT (SCAN) results for a crystal of BeAlAs2 relaxed with PBEsol.

abc: 2.7486 2.7486 8.6576
angles: 90.00 90.00 99.17
Closest atoms and distances in Å follow each position.
Fractional positions:
Be 0.0000 0.0000 0.0000  4 As 2.43-2.66, 2 Al 2.51
Al 0.5000 0.5000 0.7954  4 Be 2.51-2.74, 4 Al 2.75, 2 As 2.80
As 0.0000 0.0000 0.5454  4 As 2.75, 4 Al 2.80-3.01
As 0.5000 0.5000 0.1902  4 Be 2.43-2.66

DFT (SCAN) results for a crystal of ScP relaxed with PBEsol.

abc: 3.7115 3.7115 3.7115
angles: 60.00 60.00 60.00
Closest atoms and distances in Å follow each position.
Fractional positions:
Sc 0.0000 0.0000 0.0000  6 P 2.62
P 0.5000 0.5000 0.5000  6 Sc 2.62

DFT (SCAN) results for a crystal of ScFeSi2 relaxed with PBEsol.

abc: 4.3781 4.3781 4.3781
angles: 124.96 124.96 81.61
Closest atoms and distances in Å follow each position.
Fractional positions:
Sc 0.0000 0.0000 0.0000  8 Si 2.61, 4 Fe 2.86
Fe 0.5000 0.5000 0.0000  8 Si 2.61, 4 Sc 2.86
Si 0.2500 0.7500 0.5000  4 Fe 2.61, 4 Sc 2.61, 4 Si 2.86
Si 0.7500 0.2500 0.5000  4 Fe 2.61, 4 Sc 2.61, 4 Si 2.86

DFT (SCAN) results for a crystal of BaTiI2 relaxed with PBEsol.

abc: 5.6455 5.6455 5.6455
angles: 60.00 60.00 60.00
Closest atoms and distances in Å follow each position.
Fractional positions:
Ba 0.0000 0.0000 0.0000  8 I 3.46
Ti 0.5000 0.5000 0.5000  8 I 3.46
I 0.2500 0.2500 0.2500  4 Ba 3.46, 4 Ti 3.46
I 0.7500 0.7500 0.7500  4 Ba 3.46, 4 Ti 3.46

DFT (SCAN) results for a crystal of TaReBr relaxed with PBEsol.

abc: 4.3630 4.3630 4.3630
angles: 60.00 60.00 60.00
Closest atoms and distances in Å follow each position.
Fractional positions:
Ta 0.0000 0.0000 0.0000  4 Br 2.67, 4 Re 2.67
Re 0.2500 0.2500 0.2500  4 Ta 2.67
Br 0.7500 0.7500 0.7500  4 Ta 2.67

DFT (SCAN) results for a crystal of AgHg2P relaxed with PBEsol.

abc: 2.9162 5.3134 5.1657
angles: 90.00 90.00 90.00
Closest atoms and distances in Å follow each position.
Fractional positions:
Ag 0.0000 0.0000 0.0000  2 P 2.66, 2 Ag 2.92, 4 Hg 2.97
Hg 0.0000 0.5000 0.4990  2 P 2.58
Hg 0.5000 0.0000 0.5002  6 Hg 2.92-3.03, 4 Ag 2.97
P 0.0000 0.5000 0.9991  2 Hg 2.58, 2 Ag 2.66

DFT (SCAN) results for a crystal of AgOsRh relaxed with PBEsol.

abc: 4.8279 4.8279 4.8279
angles: 147.45 133.22 58.15
Closest atoms and distances in Å follow each position.
Fractional positions:
Ag 0.0000 0.0000 0.0000  5 Rh 2.70-2.80, 2 Ag 2.71, 5 Os 2.71-2.79
Os 0.6792 0.6792 0.0000  4 Rh 2.63, 2 Os 2.71, 5 Ag 2.71-2.79
Rh 0.3199 0.3199 0.0000  4 Os 2.63, 5 Ag 2.70-2.80, 2 Rh 2.71

DFT (SCAN) results for a crystal of CdMoCl relaxed with PBEsol.

abc: 4.6716 4.6716 4.6716
angles: 60.00 60.00 60.00
Closest atoms and distances in Å follow each position.
Fractional positions:
Cd 0.0000 0.0000 0.0000  4 Mo 2.86
Mo 0.2500 0.2500 0.2500  4 Cl 2.86, 4 Cd 2.86
Cl 0.5000 0.5000 0.5000  4 Mo 2.86

DFT (SCAN) results for a crystal of Y2H2Pb relaxed with PBEsol.

abc: 6.0352 6.0352 6.0352
angles: 141.72 141.72 55.25
Closest atoms and distances in Å follow each position.
Fractional positions:
Y 0.1549 0.1549 0.0000  4 H 2.23
Y 0.8451 0.8451 0.0000  4 H 2.23
H 0.2500 0.7500 0.5000  4 Y 2.23
H 0.7500 0.2500 0.5000  4 Y 2.23
Pb 0.5000 0.5000 0.0000  8 Y 3.25, 8 H 3.33

DFT (SCAN) results for a crystal of MgCo6P4 relaxed with PBEsol.

abc: 6.4867 6.4867 3.3248
angles: 90.00 90.00 120.00
Closest atoms and distances in Å follow each position.
Fractional positions:
Mg 0.0000 0.0000 0.0000  6 P 2.68, 6 Co 2.79
Co 0.0702 0.5351 0.0000  5 P 2.27-2.28
Co 0.3990 0.1995 0.5000  4 P 2.18-2.24
Co 0.4649 0.5351 0.0000  5 P 2.27-2.28
Co 0.4649 0.9298 0.0000  5 P 2.27-2.28
Co 0.8005 0.1995 0.5000  4 P 2.18-2.24
Co 0.8005 0.6010 0.5000  4 P 2.18-2.24
P 0.1876 0.3752 0.5000  6 Co 2.18-2.28
P 0.1876 0.8124 0.5000  6 Co 2.18-2.28
P 0.6248 0.8124 0.5000  6 Co 2.18-2.28
P 0.6667 0.3333 0.0000  9 Co 2.24-2.27

DFT (SCAN) results for a crystal of MnZn2Tc relaxed with PBEsol.

abc: 4.1426 4.1426 4.1426
angles: 60.00 60.00 60.00
Closest atoms and distances in Å follow each position.
Fractional positions:
Mn 0.0000 0.0000 0.0000  4 Tc 2.54, 4 Zn 2.54
Zn 0.2500 0.2500 0.2500  4 Mn 2.54, 4 Zn 2.54
Zn 0.5000 0.5000 0.5000  4 Tc 2.54, 4 Zn 2.54
Tc 0.7500 0.7500 0.7500  4 Mn 2.54, 4 Zn 2.54

DFT (SCAN) results for a crystal of BaAgPb2 relaxed with PBEsol.

abc: 5.2206 4.7766 5.2349
angles: 90.00 104.15 90.00
Closest atoms and distances in Å follow each position.
Fractional positions:
Ba 0.0000 0.0000 0.0000  2 Ag 3.21, 4 Pb 3.50
Ag 0.5000 0.0000 0.5000  4 Pb 2.85
Pb 0.3110 0.5000 0.6892  2 Ag 2.85, 1 Pb 3.12
Pb 0.6890 0.5000 0.3108  2 Ag 2.85, 1 Pb 3.12

DFT (SCAN) results for a crystal of Ni3S2 relaxed with PBEsol.

abc: 4.0006 4.0006 4.0006
angles: 89.47 89.47 89.47
Closest atoms and distances in Å follow each position.
Fractional positions:
Ni 0.0000 0.2552 0.7448  4 S 2.21-2.25, 2 Ni 2.45
Ni 0.2552 0.7448 0.0000  4 S 2.21-2.25, 2 Ni 2.45
Ni 0.7448 0.0000 0.2552  4 S 2.21-2.25, 2 Ni 2.45
S 0.2474 0.2474 0.2474  6 Ni 2.21-2.25
S 0.7526 0.7526 0.7526  6 Ni 2.21-2.25

DFT (SCAN) results for a crystal of CaSc2H relaxed with PBEsol.

abc: 5.0045 5.0045 5.0045
angles: 60.00 60.00 60.00
Closest atoms and distances in Å follow each position.
Fractional positions:
Ca 0.0000 0.0000 0.0000  8 Sc 3.06
Sc 0.2500 0.2500 0.2500  4 H 3.06, 4 Ca 3.06
Sc 0.7500 0.7500 0.7500  4 Ca 3.06, 4 H 3.06
H 0.5000 0.5000 0.5000  8 Sc 3.06

DFT (SCAN) results for a crystal of CeScSi relaxed with PBEsol.

abc: 8.3231 8.3231 8.3231
angles: 151.00 151.00 41.47
Closest atoms and distances in Å follow each position.
Fractional positions:
Ce 0.1798 0.1798 0.0000  5 Si 3.06-3.07
Ce 0.8202 0.8202 0.0000  5 Si 3.06-3.07
Sc 0.0000 0.5000 0.5000  4 Si 2.84, 4 Sc 2.95
Sc 0.5000 0.0000 0.5000  4 Si 2.84, 4 Sc 2.95
Si 0.3765 0.3765 0.0000  4 Sc 2.84, 5 Ce 3.06-3.07
Si 0.6235 0.6235 0.0000  4 Sc 2.84, 5 Ce 3.06-3.07

Uncorrected energy for every record listed, in sequence, given in eV per formula unit: -179.31; -102.33; -102.53; -334.06; -101.18; -50.18; -177.06; -78.13; -68.84; -304.86; -147.89; -169.69; -104.41; -116.22; -51.46; -27.98; -52.71; -130.90; -153.14; -176.96; -135.46; -71.00; -142.57; -156.46; -80.12; -224.22; -69.83; -37.61; -70.55.
Magnetic moment for every record listed, in sequence, given in μB/cell: 3.41; 0.07; 3.48; 2.59; 0.00; 0.00; 7.10; 3.41; 0.00; 0.00; 0.00; 2.69; 0.00; 7.99; 0.00; 0.00; 1.66; 3.90; 0.00; 0.00; 0.00; 4.68; 0.00; 1.74; 0.72; 0.00; 0.00; 0.00; 3.87.